The following is a GGA-PBE calculation of an optimized crystal structure of Th2Co4GeAs3, from Alexandria via LeMat-Bulk.

Output
Space group: P-4m2
ΔH_f (0 K): -770 meV per atom

Lattice parameters (Å, degrees): 4.1521 4.1521 9.5191 90.00 90.00 90.00
Fractional coordinates of all 10 atoms:
Th 0.0000 0.5000 0.2458
Th 0.5000 0.0000 0.7542
Co 0.0000 0.0000 0.0000
Co 0.0000 0.5000 0.6207
Co 0.5000 0.0000 0.3793
Co 0.5000 0.5000 0.0000
Ge 0.0000 0.0000 0.5000
As 0.0000 0.5000 0.8687
As 0.5000 0.0000 0.1313
As 0.5000 0.5000 0.5000

The following is a GGA-PBE calculation of an optimized crystal structure of VCo7Ge2As2, from Alexandria via LeMat-Bulk.

Output
Space group: C2/m
ΔH_f (0 K): -67 meV per atom

Lattice parameters (Å, degrees): 3.4507 3.4507 13.9853 94.24 94.24 90.67
Fractional coordinates of all 12 atoms:
V 0.0000 0.0000 0.0000
Co 0.0397 0.5397 0.1292
Co 0.3728 0.3728 0.5889
Co 0.4603 0.9603 0.8708
Co 0.5000 0.5000 0.0000
Co 0.5397 0.0397 0.1292
Co 0.6272 0.6272 0.4111
Co 0.9603 0.4603 0.8708
Ge 0.1407 0.1407 0.4205
Ge 0.8593 0.8593 0.5795
As 0.4250 0.4250 0.7560
As 0.5750 0.5750 0.2440

The following is a GGA-PBE calculation of an optimized crystal structure of Co2GeAsW, from Alexandria via LeMat-Bulk.

Output
Space group: P4/mmm
Energy relative to the lowest polymorph listed for this composition: 0.0 meV per atom
ΔH_f (0 K): 1306 meV per atom

Lattice parameters (Å, degrees): 4.1880 4.1880 4.8821 90.00 90.00 90.00
Fractional coordinates of all 5 atoms:
Co 0.0000 0.5000 0.0000
Co 0.5000 0.0000 0.0000
Ge 0.0000 0.0000 0.5000
As 0.0000 0.0000 0.0000
W 0.5000 0.5000 0.5000

The following is a GGA-PBE calculation of an optimized crystal structure of Co2GeAsW, from Alexandria via LeMat-Bulk.

Output
Space group: P4/mmm
Energy relative to the lowest polymorph listed for this composition: 40.2 meV per atom
ΔH_f (0 K): 1347 meV per atom

Lattice parameters (Å, degrees): 4.4893 4.4893 4.8482 90.00 90.00 90.00
Fractional coordinates of all 5 atoms:
Co 0.0000 0.5000 0.0000
Co 0.5000 0.0000 0.0000
Ge 0.0000 0.0000 0.5000
As 0.5000 0.5000 0.5000
W 0.0000 0.0000 0.0000

The following is a GGA-PBE calculation of an optimized crystal structure of CoAs3H, from Alexandria via LeMat-Bulk.

Output
Space group: Pm-3m
Energy relative to the lowest polymorph listed for this composition: 0.0 meV per atom

Lattice parameters (Å, degrees): 4.1223 4.1223 4.1223 90.00 90.00 90.00
Fractional coordinates of all 5 atoms:
Co 0.0000 0.0000 0.0000
As 0.0000 0.5000 0.5000
As 0.5000 0.0000 0.5000
As 0.5000 0.5000 0.0000
H 0.5000 0.5000 0.5000

The following is a GGA-PBE calculation of an optimized crystal structure of CoAs2H, from Alexandria via LeMat-Bulk.

Output
Space group: I-42d

Lattice parameters (Å, degrees): 6.3050 6.3050 6.3050 135.20 135.20 65.22
Fractional coordinates of all 8 atoms:
Co 0.0000 0.0000 0.0000
Co 0.7500 0.2500 0.5000
As 0.1505 0.6250 0.0255
As 0.3750 0.4005 0.5255
As 0.5995 0.1250 0.9745
As 0.8750 0.8495 0.4745
H 0.2500 0.7500 0.5000
H 0.5000 0.5000 0.0000

The following is a GGA-PBE calculation of an optimized crystal structure of CoAsH2, from Alexandria via LeMat-Bulk.

Output
Space group: Fm-3m
Energy relative to the lowest polymorph listed for this composition: 391.9 meV per atom

Lattice parameters (Å, degrees): 3.6472 3.6472 3.6472 60.00 60.00 60.00
Fractional coordinates of all 4 atoms:
Co 0.0000 0.0000 0.0000
As 0.5000 0.5000 0.5000
H 0.2500 0.2500 0.2500
H 0.7500 0.7500 0.7500

The following is a GGA-PBE calculation of an optimized crystal structure of CoAs3H, from Alexandria via LeMat-Bulk.

Output
Space group: Pm-3m
Energy relative to the lowest polymorph listed for this composition: 92.9 meV per atom

Lattice parameters (Å, degrees): 4.5383 4.5383 4.5383 90.00 90.00 90.00
Fractional coordinates of all 5 atoms:
Co 0.0000 0.0000 0.0000
As 0.0000 0.0000 0.5000
As 0.0000 0.5000 0.0000
As 0.5000 0.0000 0.0000
H 0.5000 0.5000 0.5000

The following is a GGA-PBE calculation of an optimized crystal structure of Co2AsH2, from Alexandria via LeMat-Bulk.

Output
Space group: I4/mmm

Lattice parameters (Å, degrees): 5.2223 5.2223 5.2223 147.31 147.31 46.91
Fractional coordinates of all 5 atoms:
Co 0.1447 0.1447 0.0000
Co 0.8553 0.8553 0.0000
As 0.5000 0.5000 0.0000
H 0.2500 0.7500 0.5000
H 0.7500 0.2500 0.5000

The following is a GGA-PBE calculation of an optimized crystal structure of CoAsH2, from Alexandria via LeMat-Bulk.

Output
Space group: I-42d
Energy relative to the lowest polymorph listed for this composition: 0.0 meV per atom

Lattice parameters (Å, degrees): 5.1945 5.1945 5.1945 132.31 132.31 69.73
Fractional coordinates of all 8 atoms:
Co 0.0000 0.0000 0.0000
Co 0.7500 0.2500 0.5000
As 0.2500 0.7500 0.5000
As 0.5000 0.5000 0.0000
H 0.3750 0.2281 0.3531
H 0.7719 0.1250 0.1469
H 0.8750 0.0219 0.6469
H 0.9781 0.6250 0.8531

The following is a GGA-PBE calculation of an optimized crystal structure of CoHg2AsH, from Alexandria via LeMat-Bulk.

Output
Space group: P4/mmm

Lattice parameters (Å, degrees): 5.4707 5.4707 4.4308 90.00 90.00 90.00
Fractional coordinates of all 5 atoms:
Co 0.0000 0.0000 0.0000
Hg 0.0000 0.5000 0.5000
Hg 0.5000 0.0000 0.5000
As 0.0000 0.0000 0.5000
H 0.5000 0.5000 0.0000

The following is a GGA-PBE calculation of an optimized crystal structure of HoCo2AsH, from Alexandria via LeMat-Bulk.

Output
Space group: Cmcm

Lattice parameters (Å, degrees): 5.3983 5.3983 6.7886 90.00 90.00 139.85
Fractional coordinates of all 10 atoms:
Ho 0.0567 0.9433 0.7500
Ho 0.9433 0.0567 0.2500
Co 0.3398 0.6602 0.5563
Co 0.3398 0.6602 0.9437
Co 0.6602 0.3398 0.0563
Co 0.6602 0.3398 0.4437
As 0.2246 0.7754 0.2500
As 0.7754 0.2246 0.7500
H 0.5000 0.5000 0.0000
H 0.5000 0.5000 0.5000

E_tot? In order: -6.953 -6.517 -5.980 -5.940 -4.174 -4.541 -3.818 -4.081 -5.046 -4.210 -2.292 -5.939 eV per atom.